[1]
VASP calculation (GGA-PBE) on crystalline Cu2BPt2 at its relaxed geometry.

```
5
Lattice="-1.8099 1.8099 6.0775 1.8099 -1.8099 6.0775 1.8099 1.8099 -6.0775" Properties=species:S:1:pos:R:3 pbc="T T T"
Cu 0.0000 0.0000 1.1434
Cu 0.0000 0.0000 11.0115
B 0.0000 0.0000 6.0775
Pt 1.8099 0.0000 3.0387
Pt 0.0000 1.8099 3.0387
```

Computed properties:
- volume (Å³/f.u.) = 79.6
- E (eV per formula unit) = -21.110
- magnetic moment (Bohr magnetons per cell) = 0.001
- space-group type = I4/mmm, No. 139

---

[2]
VASP calculation (GGA-PBE) on crystalline CuB2Pt at its relaxed geometry.

```
4
Lattice="0.0000 2.7945 2.7945 2.7945 0.0000 2.7945 2.7945 2.7945 0.0000" Properties=species:S:1:pos:R:3 pbc="T T T"
Cu 0.0000 0.0000 0.0000
B 2.7945 2.7945 2.7945
B 4.1918 4.1918 4.1918
Pt 1.3973 1.3973 1.3973
```

Computed properties:
- volume (Å³/f.u.) = 43.6
- E (eV per formula unit) = -18.747
- magnetic moment (Bohr magnetons per cell) = 0.002
- space-group type = F-43m, No. 216

---

[3]
VASP calculation (GGA-PBE) on crystalline CuBPt2 at its relaxed geometry.

```
4
Lattice="0.0000 2.9726 2.9726 2.9726 0.0000 2.9726 2.9726 2.9726 0.0000" Properties=species:S:1:pos:R:3 pbc="T T T"
Cu 0.0000 0.0000 0.0000
B 4.4590 4.4590 4.4590
Pt 1.4863 1.4863 1.4863
Pt 2.9726 2.9726 2.9726
```

Computed properties:
- volume (Å³/f.u.) = 52.5
- E (eV per formula unit) = -20.197
- magnetic moment (Bohr magnetons per cell) = 0.003
- space-group type = F-43m, No. 216

---

Question: The highest magnetic moment belongs to which entry?
Answer: CuBPt2

---

Question: Which of these has the lowest E?
Answer: Cu2BPt2